# LaFeCu

A relaxed structure of LaFeCu (PBE, Alexandria via LeMat-Bulk).

Values from the calculation:
Space group: No. 107
Calculated formation energy, eV per atom: 0.338
Total DFT energy (no corrections), eV per atom: -5.49

abc: 5.258 5.258 5.258
angles: 141.24 141.24 55.97
Fractional positions:
La (0.000, 0.000, 0.000)
Fe (0.249, 0.249, 0.000)
Cu (0.701, 0.701, 0.000)